Record 1
{"formula": "RbNb2OsPt", "functional": "GGA-PBE", "state": "optimized geometry", "lattice": [[4.916, 0.000, 0.000], [0.000, 5.508, 0.000], [0.000, 0.000, 4.916]], "species": ["Nb", "Nb", "Os", "Rb", "Pt"], "frac_coords": [[0.000, 0.000, 0.500], [0.500, 0.000, 0.000], [0.500, 0.500, 0.500], [0.000, 0.500, 0.000], [0.000, 0.000, 0.000]], "e_tot_ev_per_atom": -5.543, "sg": "P4/mmm", "formation_enthalpy_0k_mev_per_atom": 2133, "rho_g_cm3": 8.19}

Record 2
{"formula": "NbOsRuPt", "functional": "GGA-PBE", "state": "optimized geometry", "lattice": [[-2.141, 2.937, -1.368], [0.037, -1.651, -3.603], [-3.300, -1.995, 0.880]], "species": ["Nb", "Os", "Ru", "Pt"], "frac_coords": [[0.500, 0.000, 0.500], [0.000, 0.000, 0.000], [0.000, 0.500, 0.500], [0.500, 0.500, 0.000]], "e_tot_ev_per_atom": -9.498, "sg": "Pmmm", "formation_enthalpy_0k_mev_per_atom": -344, "rho_g_cm3": 15.80}

Record 3
{"formula": "NbOsRu2Pt", "functional": "GGA-PBE", "state": "optimized geometry", "lattice": [[-0.033, 2.695, -0.682], [0.995, -2.873, -5.734], [-8.839, -0.439, -1.313]], "species": ["Nb", "Nb", "Os", "Os", "Ru", "Ru", "Ru", "Ru", "Pt", "Pt"], "frac_coords": [[0.839, 0.678, 0.750], [0.161, 0.322, 0.250], [0.000, 0.000, 0.000], [0.000, 0.000, 0.500], [0.194, 0.387, 0.912], [0.806, 0.613, 0.088], [0.194, 0.387, 0.588], [0.806, 0.613, 0.412], [0.535, 0.071, 0.750], [0.465, 0.929, 0.250]], "e_tot_ev_per_atom": -9.048, "sg": "Cmcm", "formation_enthalpy_0k_mev_per_atom": 130, "rho_g_cm3": 14.33}

Record 4
{"formula": "NbTlOs2Pt", "functional": "GGA-PBE", "state": "optimized geometry", "lattice": [[-3.859, -0.672, 2.720], [-2.704, -0.895, -4.057], [1.041, -4.642, 0.330]], "species": ["Tl", "Os", "Os", "Nb", "Pt"], "frac_coords": [[0.000, 0.500, 0.000], [0.000, 0.000, 0.500], [0.500, 0.000, 0.000], [0.500, 0.500, 0.500], [0.000, 0.000, 0.000]], "e_tot_ev_per_atom": -6.075, "sg": "P4/mmm", "formation_enthalpy_0k_mev_per_atom": 2112, "rho_g_cm3": 12.86}

Record 5
{"formula": "Zr2NbOsPt", "functional": "GGA-PBE", "state": "optimized geometry", "lattice": [[5.003, 0.000, 0.000], [0.000, 4.767, 0.000], [0.000, 0.000, 5.003]], "species": ["Nb", "Os", "Zr", "Zr", "Pt"], "frac_coords": [[0.000, 0.500, 0.000], [0.500, 0.500, 0.500], [0.000, 0.000, 0.500], [0.500, 0.000, 0.000], [0.000, 0.000, 0.000]], "e_tot_ev_per_atom": -7.871, "sg": "P4/mmm", "formation_enthalpy_0k_mev_per_atom": 1016, "rho_g_cm3": 9.19}

Record 6
{"formula": "ZrNbOsPt2", "functional": "GGA-PBE", "state": "optimized geometry", "lattice": [[4.747, 0.000, 0.000], [0.000, 5.021, 0.000], [0.000, 0.000, 4.747]], "species": ["Nb", "Os", "Zr", "Pt", "Pt"], "frac_coords": [[0.000, 0.000, 0.000], [0.500, 0.500, 0.500], [0.000, 0.500, 0.000], [0.000, 0.000, 0.500], [0.500, 0.000, 0.000]], "e_tot_ev_per_atom": -6.826, "sg": "P4/mmm", "formation_enthalpy_0k_mev_per_atom": 1560, "rho_g_cm3": 11.22}

Record 7
{"formula": "PuNb2Os", "functional": "GGA-PBE", "state": "optimized geometry", "lattice": [[4.662, 0.000, 0.000], [2.331, 4.037, 0.000], [2.331, 1.346, 3.806]], "species": ["Nb", "Nb", "Os", "Pu"], "frac_coords": [[0.250, 0.250, 0.250], [0.750, 0.750, 0.750], [0.500, 0.500, 0.500], [0.000, 0.000, 0.000]], "e_tot_ev_per_atom": -11.351, "sg": "Fm-3m", "formation_enthalpy_0k_mev_per_atom": 75, "polymorph_energy_mev_per_atom": 15, "rho_g_cm3": 14.37}

Record 8
{"formula": "PuNb2Os", "functional": "GGA-PBE", "state": "optimized geometry", "lattice": [[-1.037, -2.955, -0.434], [2.597, -1.119, 1.414], [-3.480, 0.254, 6.593]], "species": ["Nb", "Nb", "Os", "Pu"], "frac_coords": [[0.000, 0.000, 0.780], [0.000, 0.000, 0.220], [0.500, 0.500, 0.000], [0.500, 0.500, 0.500]], "e_tot_ev_per_atom": -11.366, "sg": "P4/mmm", "formation_enthalpy_0k_mev_per_atom": 60, "polymorph_energy_mev_per_atom": 0, "rho_g_cm3": 13.81}

Record 9
{"formula": "PuNbOs4", "functional": "GGA-PBE", "state": "optimized geometry", "lattice": [[-1.875, -4.590, -1.753], [3.219, -4.124, -0.534], [-0.408, -4.096, 3.273]], "species": ["Nb", "Os", "Os", "Os", "Os", "Pu"], "frac_coords": [[0.000, 0.000, 0.000], [0.625, 0.625, 0.125], [0.625, 0.125, 0.625], [0.625, 0.625, 0.625], [0.125, 0.625, 0.625], [0.250, 0.250, 0.250]], "e_tot_ev_per_atom": -11.530, "sg": "F-43m", "formation_enthalpy_0k_mev_per_atom": 24, "rho_g_cm3": 17.73}

Record 10
{"formula": "PuNb2Os", "functional": "GGA-PBE", "state": "optimized geometry", "lattice": [[-0.220, 2.587, 1.730], [-2.466, -2.424, 3.312], [4.091, -1.134, 2.215]], "species": ["Nb", "Nb", "Os", "Pu"], "frac_coords": [[0.000, 0.000, 0.500], [0.000, 0.500, 0.000], [0.500, 0.000, 0.000], [0.500, 0.500, 0.500]], "e_tot_ev_per_atom": -11.345, "sg": "P4/mmm", "formation_enthalpy_0k_mev_per_atom": 80, "polymorph_energy_mev_per_atom": 20, "rho_g_cm3": 14.39}

Record 11
{"formula": "PuNb2Os", "functional": "GGA-PBE", "state": "optimized geometry", "lattice": [[-2.145, -1.263, -1.478], [0.190, -2.797, -0.722], [-5.256, -3.968, 8.181]], "species": ["Nb", "Nb", "Os", "Pu"], "frac_coords": [[0.095, 0.095, 0.715], [0.905, 0.905, 0.285], [0.500, 0.500, 0.500], [0.000, 0.000, 0.000]], "e_tot_ev_per_atom": -11.022, "sg": "R-3m", "formation_enthalpy_0k_mev_per_atom": 404, "polymorph_energy_mev_per_atom": 344, "rho_g_cm3": 13.68}

Record 12
{"formula": "PuNbOs2", "functional": "GGA-PBE", "state": "optimized geometry", "lattice": [[3.145, 0.000, 0.000], [0.000, 3.145, 0.000], [0.000, 0.000, 7.235]], "species": ["Nb", "Os", "Os", "Pu"], "frac_coords": [[0.500, 0.500, 0.000], [0.000, 0.000, 0.783], [0.000, 0.000, 0.217], [0.500, 0.500, 0.500]], "e_tot_ev_per_atom": -11.778, "sg": "P4/mmm", "formation_enthalpy_0k_mev_per_atom": -62, "rho_g_cm3": 16.64}